A plane-wave DFT calculation with GGA-PBE was carried out for Mg2SiC after structural relaxation.

a b c (Å): 4.4047 4.4047 4.4047
angles (deg): 60.00 60.00 60.00
Last column: nearest neighbours and their distance in Å.
Fractional positions:
1 Mg 0.2500 0.2500 0.2500  4 Si 2.70, 4 C 2.70
2 Mg 0.7500 0.7500 0.7500  4 Si 2.70, 4 C 2.70
3 Si 0.0000 0.0000 0.0000  8 Mg 2.70
4 C 0.5000 0.5000 0.5000  8 Mg 2.70

Values from the calculation:
ΔE_f (raw): 926 meV per atom
Total magnetization: 0.000 μB per cell
Crystal system: cubic



A plane-wave DFT calculation with GGA-PBE was carried out for MnIrRh2 after structural relaxation.

a b c (Å): 4.6897 4.6897 4.6364
angles (deg): 100.28 100.28 34.16
Last column: nearest neighbours and their distance in Å.
Fractional positions:
1 Mn 0.0000 0.0000 0.0000  4 Ir 2.70, 6 Rh 2.70-2.72, 2 Mn 2.75
2 Ir 0.5000 0.5000 0.5000  4 Mn 2.70, 6 Rh 2.70, 2 Ir 2.75
3 Rh 0.2508 0.2508 0.7490  6 Rh 2.69-2.75, 3 Mn 2.70-2.72, 3 Ir 2.70
4 Rh 0.7492 0.7492 0.2510  6 Rh 2.69-2.75, 3 Mn 2.70-2.72, 3 Ir 2.70

Values from the calculation:
Total magnetization: 3.370 μB per cell
ΔH_f (0 K): -81.2 meV/atom
Crystal system: monoclinic



A plane-wave DFT calculation with GGA-PBE was carried out for YHfGa after structural relaxation.

a b c (Å): 6.6108 6.6108 6.6108
angles (deg): 150.82 150.82 41.74
Last column: nearest neighbours and their distance in Å.
Fractional positions:
1 Y 0.0000 0.0000 0.0000  4 Ga 3.13, 4 Hf 3.33, 4 Y 3.33
2 Hf 0.3095 0.3095 0.0000  4 Ga 2.94
3 Ga 0.6672 0.6672 0.0000  4 Hf 2.94, 4 Y 3.13

Values from the calculation:
Total magnetization: 0.000 μB per cell
ΔH_f (0 K): -265.4 meV/atom
Crystal system: tetragonal



A plane-wave DFT calculation with GGA-PBE was carried out for Pa3Cu4Ge2 after structural relaxation.

a b c (Å): 5.5001 5.5001 8.2831
angles (deg): 114.38 114.38 47.37
Last column: nearest neighbours and their distance in Å.
Fractional positions:
1 Pa 0.0000 0.0000 0.0000  8 Cu 2.99-3.14, 4 Ge 3.05, 2 Pa 3.26
2 Pa 0.3382 0.3382 0.3271  8 Cu 2.87-3.09, 4 Ge 3.01-3.06
3 Pa 0.6618 0.6618 0.6729  8 Cu 2.87-3.09, 4 Ge 3.01-3.06
4 Cu 0.0744 0.0744 0.4110  1 Cu 2.53, 2 Ge 2.58
5 Cu 0.2857 0.2857 0.9560  2 Cu 2.53, 1 Ge 2.56
6 Cu 0.7143 0.7143 0.0440  2 Cu 2.53, 1 Ge 2.56
7 Cu 0.9256 0.9256 0.5890  1 Cu 2.53, 2 Ge 2.58
8 Ge 0.3812 0.3812 0.7170  3 Cu 2.56-2.58
9 Ge 0.6188 0.6188 0.2830  3 Cu 2.56-2.58

Values from the calculation:
Total magnetization: 0.000 μB per cell
ΔH_f (0 K): -238.1 meV/atom
Crystal system: monoclinic



A plane-wave DFT calculation with GGA-PBE was carried out for NaTlCdIn2 after structural relaxation.

a b c (Å): 5.7699 5.7699 10.8032
angles (deg): 90.00 90.00 117.38
Last column: nearest neighbours and their distance in Å.
Fractional positions:
1 Na 0.0000 0.0000 0.0000  2 Na 3.00, 2 In 3.04
2 Na 0.5000 0.5000 0.0000  2 Na 3.00, 2 In 3.04
3 Tl 0.2500 0.7500 0.6925  6 In 3.40-3.42, 4 Cd 3.56
4 Tl 0.7500 0.2500 0.3075  6 In 3.40-3.42, 4 Cd 3.56
5 Cd 0.2500 0.2500 0.5000  2 Cd 3.00, 4 In 3.06
6 Cd 0.7500 0.7500 0.5000  2 Cd 3.00, 4 In 3.06
7 In 0.0940 0.9060 0.2680  1 Na 3.04, 2 Cd 3.06, 1 In 3.08, 2 Tl 3.40
8 In 0.4060 0.5940 0.2680  1 Na 3.04, 2 Cd 3.06, 1 In 3.08, 2 Tl 3.40
9 In 0.5940 0.4060 0.7320  1 Na 3.04, 2 Cd 3.06, 1 In 3.08, 2 Tl 3.40
10 In 0.9060 0.0940 0.7320  1 Na 3.04, 2 Cd 3.06, 1 In 3.08, 2 Tl 3.40

Values from the calculation:
Total magnetization: 0.000 μB per cell
ΔH_f (0 K): 83.4 meV/atom
Crystal system: orthorhombic



A plane-wave DFT calculation with GGA-PBE was carried out for RbCdNO2 after structural relaxation.

a b c (Å): 4.4626 4.4626 4.6210
angles (deg): 90.00 90.00 90.00
Last column: nearest neighbours and their distance in Å.
Fractional positions:
1 Rb 0.0000 0.0000 0.0000  4 N 3.16, 8 O 3.21
2 Cd 0.5000 0.5000 0.5000  4 O 2.23, 2 N 2.31
3 N 0.5000 0.5000 0.0000  2 Cd 2.31
4 O 0.0000 0.5000 0.5000  2 Cd 2.23
5 O 0.5000 0.0000 0.5000  2 Cd 2.23

Values from the calculation:
ΔE_f (raw): 356 meV per atom
Total magnetization: 3.898 μB per cell
Crystal system: tetragonal



no.,DFT total energy (eV/cell)
1,-14.133
2,-33.058
3,-20.241
4,-56.250
5,-19.321
6,-18.346